{
  "formula": "HfCdCoSb",
  "functional": "PBE",
  "state": "relaxed",
  "lattice_angstrom": [[6.692, 0.000, 0.000], [0.000, 6.692, 0.000], [0.000, 0.000, 6.692]],
  "species": ["Hf", "Hf", "Hf", "Hf", "Cd", "Cd", "Cd", "Cd", "Co", "Co", "Co", "Co", "Sb", "Sb", "Sb", "Sb"],
  "frac_coords": [[0.000, 0.000, 0.000], [0.000, 0.500, 0.500], [0.500, 0.000, 0.500], [0.500, 0.500, 0.000], [0.250, 0.250, 0.750], [0.250, 0.750, 0.250], [0.750, 0.250, 0.250], [0.750, 0.750, 0.750], [0.000, 0.000, 0.500], [0.000, 0.500, 0.000], [0.500, 0.000, 0.000], [0.500, 0.500, 0.500], [0.250, 0.250, 0.250], [0.250, 0.750, 0.750], [0.750, 0.250, 0.750], [0.750, 0.750, 0.250]],
  "total_energy_ev_per_atom": -5.30,
  "space_group": "No. 216",
  "magmom_total_mub_per_cell": 0.31
}